Record 1
Here is a relaxed CoAgSe2 crystal from the Alexandria database. Energies are from PBE-GGA.

abc: 6.766 6.766 6.766
angles: 129.37 129.37 74.42
Positions (direct):
Co 0.000 0.000 0.000
Co 0.750 0.250 0.500
Ag 0.250 0.750 0.500
Ag 0.500 0.500 0.000
Se 0.070 0.625 0.945
Se 0.375 0.320 0.445
Se 0.680 0.125 0.055
Se 0.875 0.930 0.555

Computed properties:
- Total moment: 1.4 μB/f.u.
- SG: I-42d, No. 122
- Raw formation energy: -0.0598 eV/atom
- Density of states at the Fermi level: 4.18 states/eV/f.u.

Record 2
Here is a relaxed CoAgSe2 crystal from the Alexandria database. Energies are from PBE-GGA.

abc: 4.569 4.569 4.569
angles: 60.00 60.00 60.00
Positions (direct):
Co 0.000 0.000 0.000
Ag 0.500 0.500 0.500
Se 0.250 0.250 0.250
Se 0.750 0.750 0.750

Computed properties:
- Total moment: 0.3 μB/f.u.
- SG: Fm-3m, No. 225
- Raw formation energy: 0.3561 eV/atom
- Density of states at the Fermi level: 2.57 states/eV/f.u.

Record 3
Here is a relaxed CoAgSe2 crystal from the Alexandria database. Energies are from PBE-GGA.

abc: 3.750 3.750 5.353
angles: 90.00 90.00 90.00
Positions (direct):
Co 0.000 0.000 0.000
Ag 0.500 0.500 0.500
Se 0.000 0.000 0.500
Se 0.500 0.500 0.000

Computed properties:
- Total moment: 2.1 μB/f.u.
- SG: P4/mmm, No. 123
- Raw formation energy: 0.1627 eV/atom
- Density of states at the Fermi level: 6.03 states/eV/f.u.

Record 4
Here is a relaxed CoAgSe2 crystal from the Alexandria database. Energies are from PBE-GGA.

abc: 7.792 7.792 10.666
angles: 102.97 102.97 82.37
Positions (direct):
Co 0.050 0.291 0.879
Co 0.075 0.730 0.776
Co 0.270 0.925 0.724
Co 0.291 0.050 0.379
Co 0.709 0.950 0.621
Co 0.730 0.075 0.276
Co 0.925 0.270 0.224
Co 0.950 0.709 0.121
Ag 0.027 0.588 0.376
Ag 0.349 0.404 0.526
Ag 0.404 0.349 0.026
Ag 0.412 0.973 0.124
Ag 0.588 0.027 0.876
Ag 0.596 0.651 0.974
Ag 0.651 0.596 0.474
Ag 0.973 0.412 0.624
Se 0.001 0.151 0.416
Se 0.122 0.589 0.956
Se 0.151 0.001 0.916
Se 0.215 0.785 0.250
Se 0.225 0.281 0.260
Se 0.281 0.225 0.760
Se 0.366 0.634 0.750
Se 0.411 0.878 0.544
Se 0.589 0.122 0.456
Se 0.634 0.366 0.250
Se 0.719 0.775 0.240
Se 0.775 0.719 0.740
Se 0.785 0.215 0.750
Se 0.849 0.999 0.084
Se 0.878 0.411 0.044
Se 0.999 0.849 0.584

Computed properties:
- Total moment: 0.0 μB/f.u.
- SG: C2/c, No. 15
- Raw formation energy: -0.0963 eV/atom
- Density of states at the Fermi level: 1.43 states/eV/f.u.

Record 5
Here is a relaxed CoAg2Se crystal from the Alexandria database. Energies are from PBE-GGA.

abc: 10.154 10.154 10.154
angles: 16.00 16.00 16.00
Positions (direct):
Co 0.000 0.000 0.000
Ag 0.260 0.260 0.260
Ag 0.740 0.740 0.740
Se 0.500 0.500 0.500

Computed properties:
- Total moment: 1.6 μB/f.u.
- SG: R-3m, No. 166
- Raw formation energy: 0.4150 eV/atom
- Density of states at the Fermi level: 3.42 states/eV/f.u.

Record 6
Here is a relaxed CoAg2Se crystal from the Alexandria database. Energies are from PBE-GGA.

abc: 5.911 5.911 5.911
angles: 101.05 101.05 128.06
Positions (direct):
Co 0.000 0.000 0.000
Co 0.750 0.250 0.500
Ag 0.111 0.125 0.486
Ag 0.375 0.889 0.014
Ag 0.639 0.625 0.514
Ag 0.875 0.361 0.986
Se 0.250 0.750 0.500
Se 0.500 0.500 0.000

Computed properties:
- Total moment: 1.4 μB/f.u.
- SG: I-42d, No. 122
- Raw formation energy: 0.5011 eV/atom
- Density of states at the Fermi level: 6.62 states/eV/f.u.